No. 1
# ScAl | Alexandria | meta-GGA SCAN | single point on PBEsol structure
data_ScAl
_cell_length_a 3.291
_cell_length_b 11.004
_cell_length_c 4.331
_cell_angle_alpha 90.00
_cell_angle_beta 90.00
_cell_angle_gamma 90.00
_space_group_name_H-M_alt 'C m c m'
_space_group_IT_number 63
_space_group_name_Hall '-C 2c 2'
loop_
_atom_site_label
_atom_site_type_symbol
_atom_site_fract_x
_atom_site_fract_y
_atom_site_fract_z
_atom_site_occupancy
Sc1 Sc 0.000 0.163 0.250 1
Al1 Al 0.000 0.430 0.250 1
# * raw total energy: -11.4363 eV/atom
# * formation energy: -0.44 eV per atom

=====

No. 2
# Li2Al | Alexandria | meta-GGA SCAN | single point on PBEsol structure
data_Li2Al
_cell_length_a 4.544
_cell_length_b 9.648
_cell_length_c 4.409
_cell_angle_alpha 90.00
_cell_angle_beta 90.00
_cell_angle_gamma 90.00
_space_group_name_H-M_alt 'C m c m'
_space_group_IT_number 63
_space_group_name_Hall '-C 2c 2'
loop_
_atom_site_label
_atom_site_type_symbol
_atom_site_fract_x
_atom_site_fract_y
_atom_site_fract_z
_atom_site_occupancy
Li1 Li 0.000 0.090 0.250 1
Li2 Li 0.000 0.258 0.750 1
Al1 Al 0.000 0.423 0.250 1
# * raw total energy: -4.3405 eV/atom
# * formation energy: -0.16 eV per atom

=====

No. 3
# MgScSb | Alexandria | meta-GGA SCAN | single point on PBEsol structure
data_MgScSb
_cell_length_a 3.325
_cell_length_b 3.975
_cell_length_c 10.224
_cell_angle_alpha 90.00
_cell_angle_beta 90.00
_cell_angle_gamma 90.00
_space_group_name_H-M_alt 'I m m 2'
_space_group_IT_number 44
loop_
_space_group_symop_operation_xyz
'x,y,z'
'-x,-y,z'
'-x,y,z'
'x,-y,z'
'x+1/2,y+1/2,z+1/2'
'-x+1/2,-y+1/2,z+1/2'
'-x+1/2,y+1/2,z+1/2'
'x+1/2,-y+1/2,z+1/2'
loop_
_atom_site_label
_atom_site_type_symbol
_atom_site_fract_x
_atom_site_fract_y
_atom_site_fract_z
_atom_site_occupancy
Mg1 Mg 0.000 0.000 0.000 1
Sc1 Sc 0.000 0.000 0.679 1
Sb1 Sb 0.000 0.000 0.336 1
# * raw total energy: -19.1859 eV/atom
# * uncorrected formation energy: -0.362 eV per atom

=====

No. 4
# ScNi2P | Alexandria | meta-GGA SCAN | single point on PBEsol structure
data_ScNi2P
_cell_length_a 3.783
_cell_length_b 4.177
_cell_length_c 6.317
_cell_angle_alpha 90.00
_cell_angle_beta 90.00
_cell_angle_gamma 90.00
_space_group_name_H-M_alt 'I m m m'
_space_group_IT_number 71
_space_group_name_Hall '-I 2 2'
loop_
_atom_site_label
_atom_site_type_symbol
_atom_site_fract_x
_atom_site_fract_y
_atom_site_fract_z
_atom_site_occupancy
Sc1 Sc 0.000 0.000 0.000 1
Ni1 Ni 0.000 0.500 0.221 1
P1 P 0.000 0.000 0.500 1
# * raw total energy: -14.8017 eV/atom
# * formation energy: -0.56 eV per atom

=====

No. 5
# Sc2TlTe | Alexandria | meta-GGA SCAN | single point on PBEsol structure
data_Sc2TlTe
_cell_length_a 3.8758
_cell_length_b 3.8758
_cell_length_c 22.4791
_cell_angle_alpha 90.00
_cell_angle_beta 90.00
_cell_angle_gamma 120.00
_space_group_name_H-M_alt 'R -3 m'
_space_group_IT_number 166
_space_group_name_Hall '-R 3 2"'
loop_
_atom_site_label
_atom_site_type_symbol
_atom_site_fract_x
_atom_site_fract_y
_atom_site_fract_z
_atom_site_occupancy
Sc1 Sc 0.0000 0.0000 0.2473 1
Tl1 Tl 0.0000 0.0000 0.0000 1
Te1 Te 0.0000 0.0000 0.5000 1
# * raw total energy: -35.3314 eV/atom
# * uncorrected formation energy: -0.810 eV per atom

=====

No. 6
# CoNiIr2 | Alexandria | meta-GGA SCAN | single point on PBEsol structure
data_CoNiIr2
_cell_length_a 2.662
_cell_length_b 2.662
_cell_length_c 6.972
_cell_angle_alpha 90.00
_cell_angle_beta 90.00
_cell_angle_gamma 90.00
_space_group_name_H-M_alt 'P 4 m m'
_space_group_IT_number 99
loop_
_space_group_symop_operation_xyz
'x,y,z'
'-y,x,z'
'-x,-y,z'
'y,-x,z'
'-x,y,z'
'y,x,z'
'x,-y,z'
'-y,-x,z'
loop_
_atom_site_label
_atom_site_type_symbol
_atom_site_fract_x
_atom_site_fract_y
_atom_site_fract_z
_atom_site_occupancy
Co1 Co 0.000 0.000 0.000 1
Ni1 Ni 0.500 0.500 0.776 1
Ir1 Ir 0.000 0.000 0.523 1
Ir2 Ir 0.500 0.500 0.250 1
# * raw total energy: -43.8542 eV/atom
# * formation energy: 0.06 eV per atom

=====

No. 7
# Lu2B6Rh | Alexandria | meta-GGA SCAN | single point on PBEsol structure
data_Lu2B6Rh
_cell_length_a 9.002
_cell_length_b 11.311
_cell_length_c 3.532
_cell_angle_alpha 90.00
_cell_angle_beta 90.00
_cell_angle_gamma 90.00
_space_group_name_H-M_alt 'P b a m'
_space_group_IT_number 55
loop_
_space_group_symop_operation_xyz
'x,y,z'
'-x,-y,-z'
'-x,-y,z'
'x,y,-z'
'x+1/2,-y+1/2,-z'
'-x+1/2,y+1/2,z'
'-x+1/2,y+1/2,-z'
'x+1/2,-y+1/2,z'
loop_
_atom_site_label
_atom_site_type_symbol
_atom_site_fract_x
_atom_site_fract_y
_atom_site_fract_z
_atom_site_occupancy
Lu1 Lu 0.056 0.127 0.000 1
Lu2 Lu 0.179 0.414 0.000 1
B1 B 0.019 0.287 0.500 1
B2 B 0.053 0.565 0.500 1
B3 B 0.107 0.971 0.500 1
B4 B 0.132 0.817 0.500 1
B5 B 0.206 0.236 0.500 1
B6 B 0.250 0.079 0.500 1
Rh1 Rh 0.140 0.680 0.000 1
# * raw total energy: -21.7899 eV/atom
# * formation energy: -0.79 eV per atom

=====

No. 8
# Na3CuO2 | Alexandria | meta-GGA SCAN | single point on PBEsol structure
data_Na3CuO2
_cell_length_a 5.264
_cell_length_b 10.421
_cell_length_c 5.898
_cell_angle_alpha 90.00
_cell_angle_beta 90.00
_cell_angle_gamma 90.00
_space_group_name_H-M_alt 'I b a m'
_space_group_IT_number 72
_space_group_name_Hall '-I 2 2c'
loop_
_atom_site_label
_atom_site_type_symbol
_atom_site_fract_x
_atom_site_fract_y
_atom_site_fract_z
_atom_site_occupancy
Na1 Na 0.000 0.000 0.250 1
Na2 Na 0.000 0.262 0.250 1
Cu1 Cu 0.000 0.500 0.000 1
O1 O 0.249 0.125 0.000 1
# * raw total energy: -7.9723 eV/atom
# * uncorrected formation energy: -1.255 eV per atom

=====

No. 9
# HfSc3H | Alexandria | meta-GGA SCAN | single point on PBEsol structure
data_HfSc3H
_cell_length_a 4.466
_cell_length_b 4.466
_cell_length_c 4.466
_cell_angle_alpha 90.00
_cell_angle_beta 90.00
_cell_angle_gamma 90.00
_space_group_name_H-M_alt 'P m -3 m'
_space_group_IT_number 221
_space_group_name_Hall '-P 4 2 3'
loop_
_atom_site_label
_atom_site_type_symbol
_atom_site_fract_x
_atom_site_fract_y
_atom_site_fract_z
_atom_site_occupancy
Hf1 Hf 0.000 0.000 0.000 1
Sc1 Sc 0.000 0.500 0.500 1
H1 H 0.500 0.500 0.500 1
# * raw total energy: -21.8678 eV/atom

=====

No. 10
# FeAs2SeO | Alexandria | meta-GGA SCAN | single point on PBEsol structure
data_FeAs2SeO
_cell_length_a 4.207
_cell_length_b 4.207
_cell_length_c 4.521
_cell_angle_alpha 90.00
_cell_angle_beta 90.00
_cell_angle_gamma 90.00
_space_group_name_H-M_alt 'P 4/m m m'
_space_group_IT_number 123
_space_group_name_Hall '-P 4 2'
loop_
_atom_site_label
_atom_site_type_symbol
_atom_site_fract_x
_atom_site_fract_y
_atom_site_fract_z
_atom_site_occupancy
Fe1 Fe 0.000 0.000 0.000 1
As1 As 0.000 0.500 0.500 1
Se1 Se 0.500 0.500 0.000 1
O1 O 0.500 0.500 0.500 1
# * raw total energy: -16.4112 eV/atom
# * uncorrected formation energy: 0.553 eV per atom

=====

No. 11
# Pt3O4 | Alexandria | meta-GGA SCAN | single point on PBEsol structure
data_Pt3O4
_cell_length_a 5.579
_cell_length_b 5.579
_cell_length_c 5.579
_cell_angle_alpha 90.00
_cell_angle_beta 90.00
_cell_angle_gamma 90.00
_space_group_name_H-M_alt 'P m -3 n'
_space_group_IT_number 223
_space_group_name_Hall '-P 4n 2 3'
loop_
_atom_site_label
_atom_site_type_symbol
_atom_site_fract_x
_atom_site_fract_y
_atom_site_fract_z
_atom_site_occupancy
Pt1 Pt 0.000 0.250 0.500 1
O1 O 0.250 0.250 0.250 1
# * raw total energy: -34.2623 eV/atom
# * uncorrected formation energy: -0.619 eV per atom

=====

No. 12
# Ca3WO | Alexandria | meta-GGA SCAN | single point on PBEsol structure
data_Ca3WO
_cell_length_a 4.753
_cell_length_b 4.753
_cell_length_c 4.753
_cell_angle_alpha 90.00
_cell_angle_beta 90.00
_cell_angle_gamma 90.00
_space_group_name_H-M_alt 'P m -3 m'
_space_group_IT_number 221
_space_group_name_Hall '-P 4 2 3'
loop_
_atom_site_label
_atom_site_type_symbol
_atom_site_fract_x
_atom_site_fract_y
_atom_site_fract_z
_atom_site_occupancy
Ca1 Ca 0.000 0.000 0.500 1
W1 W 0.500 0.500 0.500 1
O1 O 0.000 0.000 0.000 1
# * raw total energy: -21.4357 eV/atom
# * uncorrected formation energy: -0.454 eV per atom

=====

Which value of raw total energy does entry 2 give?
-4.3405 eV/atom

=====

Among the records above, which one has the highest raw total energy?
Li2Al

=====

The highest raw total energy belongs to which entry?
Li2Al